# 1
SrCuP2 | PBE | relaxed

abc: 4.0125 6.1693 6.8458
angles: 90.00 90.00 90.00
Space group Immm (No. 71)
Asymmetric unit:
Sr  0.0000  0.0000  0.0000 x2
Cu  0.0000  0.0000  0.5000 x2
P  0.0000  0.5000  0.1668 x4

Formation energy from the elements, eV per formula unit: -1.8
Calculated volume, Å³ per cell: 169.5


# 2
SrCuP2 | PBE | relaxed

abc: 6.7969 6.7969 6.7969
angles: 90.00 90.00 90.00
Space group Fm-3m (No. 225)
Asymmetric unit:
Sr  0.0000  0.0000  0.0000 x4
Cu  0.0000  0.0000  0.5000 x4
P  0.2500  0.2500  0.2500 x8

Formation energy from the elements, eV per formula unit: 0.4
Calculated volume, Å³ per cell: 314.0


# 3
SrCuP5 | PBE | relaxed

abc: 11.7318 14.5493 3.6145
angles: 90.00 97.81 90.00
Space group C2/c (No. 15)
Asymmetric unit:
Sr  0.2500  0.2500  0.0000 x4
Cu  0.0000  0.2190  0.2500 x4
P  0.0000  0.1267  0.7500 x4
P  0.0590  0.3604  0.5188 x8
P  0.1608  0.0497  0.7546 x8

Formation energy from the elements, eV per formula unit: -1.3
Calculated volume, Å³ per cell: 611.2